The following is a PBE-GGA calculation of a relaxed structure of Ce2H3Rh, from Alexandria via LeMat-Bulk.

Unit cell a=5.010 b=5.010 c=7.744 alpha=112.70 beta=112.70 gamma=78.86
Each line ends with the local moment (μB).
Fractional positions:
Rh1 0.394 0.394 0.788  -0.02
Rh2 0.606 0.606 0.212  -0.02
Ce1 0.750 0.250 0.500  0.94
Ce2 0.250 0.750 0.500  0.94
Ce3 0.172 0.172 0.000  0.72
Ce4 0.828 0.828 0.000  0.72
H1 0.736 0.736 0.472  -0.01
H2 0.264 0.264 0.528  -0.01
H3 0.340 0.888 0.228  0.00
H4 0.660 0.112 0.772  0.00
H5 0.112 0.660 0.772  0.00
H6 0.888 0.340 0.228  0.00

Values from the calculation:
calculated total energy: -5.26 eV/atom